# 1
A relaxed SrPHS2 crystal, computed with GGA-PBE.

```
5
Lattice="5.038 0.000 0.000 0.000 5.038 0.000 0.000 0.000 3.380" Properties=species:S:1:pos:R:3 pbc="T T T"
Sr 2.519 2.519 1.690
S 0.000 2.519 0.000
S 2.519 0.000 0.000
H 0.000 0.000 0.000
P 0.000 0.000 1.690
```

Summary:
distance to the lowest polymorph of the same formula	0.00	eV per formula unit
symmetry	P4/mmm



# 2
A relaxed NaTeSe2Br crystal, computed with GGA-PBE.

```
5
Lattice="-3.647 -2.843 2.831 2.844 0.866 4.535 -2.989 4.790 0.960" Properties=species:S:1:pos:R:3 pbc="T T T"
Na -1.896 1.406 4.162
Te 0.000 0.000 0.000
Se 1.422 0.433 2.267
Se -1.824 -1.422 1.415
Br -1.494 2.395 0.480
```

Summary:
distance to the lowest polymorph of the same formula	0.00	eV per formula unit
symmetry	P4/mmm
uncorrected formation energy	-0.226	eV/atom



# 3
A relaxed ErFeNi6 crystal, computed with GGA-PBE.

```
8
Lattice="3.753 0.000 0.000 0.000 3.753 0.000 0.000 0.000 7.956" Properties=species:S:1:pos:R:3 pbc="T T T"
Er 0.000 0.000 0.000
Fe 0.000 0.000 3.978
Ni 1.877 0.000 5.383
Ni 0.000 1.877 5.383
Ni 1.877 1.877 1.126
Ni 1.877 1.877 6.830
Ni 0.000 1.877 2.573
Ni 1.877 0.000 2.573
```

Summary:
formation enthalpy at 0 K	0.032	eV per atom
symmetry	P4/mmm



no.,calculated volume (Å³ per cell)
1,86
2,168
3,112